<1>
Here is an optimized crystal structure of YZrTe4 from the Alexandria database. Energies are from PBE-GGA.

POSCAR file:
```
YZrTe4
1.0
7.3160 0.0000 0.1701
0.0000 7.3702 0.0000
0.0634 0.0000 7.2758
Y Zr Te
2 2 8
Direct
0.5000 0.0000 0.5000
0.0000 0.5000 0.5000
0.0000 0.0000 0.0000
0.5000 0.5000 0.0000
0.8440 0.6479 0.1270
0.6560 0.1479 0.8730
0.3850 0.3720 0.3598
0.1150 0.8720 0.6402
0.1560 0.3521 0.8730
0.3440 0.8521 0.1270
0.6150 0.6280 0.6402
0.8850 0.1280 0.3598
```

***

<2>
Here is an optimized crystal structure of YZrTe4 from the Alexandria database. Energies are from PBE-GGA.

POSCAR file:
```
YZrTe4
1.0
4.0876 0.0000 0.0000
0.0000 6.8006 -0.0329
0.0000 -0.0344 7.2266
Y Zr Te
1 1 4
Direct
0.0000 0.0000 0.0000
0.5000 0.0000 0.5000
0.0000 0.7383 0.6526
0.5000 0.2682 0.8172
0.5000 0.7318 0.1828
0.0000 0.2617 0.3474
```

***

<3>
Here is an optimized crystal structure of YZrTe4 from the Alexandria database. Energies are from PBE-GGA.

POSCAR file:
```
YZrTe4
1.0
4.9212 -2.4916 -2.9790
3.4385 -4.4354 2.7937
-0.2474 -5.9172 -2.0560
Y Zr Te
1 1 4
Direct
0.7500 0.7500 0.7500
0.0000 0.0000 0.0000
0.8759 0.3747 0.3747
0.3747 0.3747 0.8759
0.3747 0.8759 0.3747
0.3747 0.3747 0.3747
```

***

Among the structures above, stability is greatest for <2>.